Version 1
The following is a GGA-PBE calculation of a relaxed structure of ScCdFeGe, from OQMD via LeMat-Bulk.

Lattice parameters (Å, degrees): 4.587 4.587 4.587 60.00 60.00 60.00
Positions (direct):
1 Fe 0.750 0.750 0.750
2 Sc 0.500 0.500 0.500
3 Ge 0.000 0.000 0.000
4 Cd 0.250 0.250 0.250



Version 2
The following is a GGA-PBE calculation of a relaxed structure of ScCdFeGe, from OQMD via LeMat-Bulk.

Lattice parameters (Å, degrees): 4.591 4.591 4.591 60.00 60.00 60.00
Positions (direct):
1 Sc 0.250 0.250 0.250
2 Ge 0.000 0.000 0.000
3 Fe 0.750 0.750 0.750
4 Cd 0.500 0.500 0.500



Stability, lowest: version 1



Version 1
The following is a GGA-PBE calculation of a relaxed structure of ZnCdFeGe, from OQMD via LeMat-Bulk.

Lattice parameters (Å, degrees): 4.531 4.531 4.531 60.00 60.00 60.00
Positions (direct):
1 Zn 0.500 0.500 0.500
2 Cd 0.250 0.250 0.250
3 Fe 0.750 0.750 0.750
4 Ge 0.000 0.000 0.000



Version 2
The following is a GGA-PBE calculation of a relaxed structure of ZnCdFeGe, from OQMD via LeMat-Bulk.

Lattice parameters (Å, degrees): 4.538 4.538 4.538 60.00 60.00 60.00
Positions (direct):
1 Fe 0.750 0.750 0.750
2 Cd 0.500 0.500 0.500
3 Zn 0.250 0.250 0.250
4 Ge 0.000 0.000 0.000



Stability, lowest: version 1



Version 1
The following is a GGA-PBE calculation of a relaxed structure of HfCdFe, from OQMD via LeMat-Bulk.

Lattice parameters (Å, degrees): 4.441 4.441 4.441 60.00 60.00 60.00
Positions (direct):
1 Cd 0.250 0.250 0.250
2 Hf 0.000 0.000 0.000
3 Fe 0.750 0.750 0.750



Version 2
The following is a GGA-PBE calculation of a relaxed structure of HfCdFe, from OQMD via LeMat-Bulk.

Lattice parameters (Å, degrees): 4.396 4.396 4.396 60.00 60.00 60.00
Positions (direct):
1 Cd 0.000 0.000 0.000
2 Fe 0.250 0.250 0.250
3 Hf 0.750 0.750 0.750



Stability, lowest: version 1



Version 1
The following is a GGA-PBE calculation of a relaxed structure of HfCdFeSb, from OQMD via LeMat-Bulk.

Lattice parameters (Å, degrees): 4.765 4.765 4.765 60.00 60.00 60.00
Positions (direct):
1 Sb 0.000 0.000 0.000
2 Cd 0.500 0.500 0.500
3 Hf 0.250 0.250 0.250
4 Fe 0.750 0.750 0.750



Version 2
The following is a GGA-PBE calculation of a relaxed structure of HfCdFeSb, from OQMD via LeMat-Bulk.

Lattice parameters (Å, degrees): 4.736 4.736 4.736 60.00 60.00 60.00
Positions (direct):
1 Fe 0.750 0.750 0.750
2 Sb 0.000 0.000 0.000
3 Hf 0.500 0.500 0.500
4 Cd 0.250 0.250 0.250



Stability, lowest: version 2



Version 1
The following is a GGA-PBE calculation of a relaxed structure of HfCdFeSn, from OQMD via LeMat-Bulk.

Lattice parameters (Å, degrees): 4.690 4.690 4.690 60.00 60.00 60.00
Positions (direct):
1 Sn 0.000 0.000 0.000
2 Hf 0.500 0.500 0.500
3 Fe 0.750 0.750 0.750
4 Cd 0.250 0.250 0.250



Version 2
The following is a GGA-PBE calculation of a relaxed structure of HfCdFeSn, from OQMD via LeMat-Bulk.

Lattice parameters (Å, degrees): 4.743 4.743 4.743 60.00 60.00 60.00
Positions (direct):
1 Sn 0.000 0.000 0.000
2 Cd 0.500 0.500 0.500
3 Hf 0.250 0.250 0.250
4 Fe 0.750 0.750 0.750



Stability, lowest: version 2



Version 1
The following is a GGA-PBE calculation of a relaxed structure of ScCdInFe, from OQMD via LeMat-Bulk.

Lattice parameters (Å, degrees): 4.754 4.754 4.754 60.00 60.00 60.00
Positions (direct):
1 Fe 0.750 0.750 0.750
2 Sc 0.250 0.250 0.250
3 Cd 0.500 0.500 0.500
4 In 0.000 0.000 0.000



Version 2
The following is a GGA-PBE calculation of a relaxed structure of ScCdInFe, from OQMD via LeMat-Bulk.

Lattice parameters (Å, degrees): 4.738 4.738 4.738 60.00 60.00 60.00
Positions (direct):
1 In 0.000 0.000 0.000
2 Fe 0.750 0.750 0.750
3 Cd 0.250 0.250 0.250
4 Sc 0.500 0.500 0.500



Stability, lowest: version 2



Version 1
The following is a GGA-PBE calculation of a relaxed structure of LiZnCdFe, from OQMD via LeMat-Bulk.

Lattice parameters (Å, degrees): 4.396 4.396 4.396 60.00 60.00 60.00
Positions (direct):
1 Fe 0.750 0.750 0.750
2 Cd 0.500 0.500 0.500
3 Zn 0.000 0.000 0.000
4 Li 0.250 0.250 0.250



Version 2
The following is a GGA-PBE calculation of a relaxed structure of LiZnCdFe, from OQMD via LeMat-Bulk.

Lattice parameters (Å, degrees): 4.387 4.387 4.387 60.00 60.00 60.00
Positions (direct):
1 Cd 0.250 0.250 0.250
2 Li 0.500 0.500 0.500
3 Zn 0.000 0.000 0.000
4 Fe 0.750 0.750 0.750



Stability, lowest: version 2



Version 1
The following is a GGA-PBE calculation of a relaxed structure of LuCdFeSb, from OQMD via LeMat-Bulk.

Lattice parameters (Å, degrees): 4.887 4.887 4.887 60.00 60.00 60.00
Positions (direct):
1 Lu 0.500 0.500 0.500
2 Sb 0.000 0.000 0.000
3 Fe 0.750 0.750 0.750
4 Cd 0.250 0.250 0.250



Version 2
The following is a GGA-PBE calculation of a relaxed structure of LuCdFeSb, from OQMD via LeMat-Bulk.

Lattice parameters (Å, degrees): 4.892 4.892 4.892 60.00 60.00 60.00
Positions (direct):
1 Lu 0.250 0.250 0.250
2 Cd 0.500 0.500 0.500
3 Sb 0.000 0.000 0.000
4 Fe 0.750 0.750 0.750



Stability, lowest: version 1



Version 1
The following is a GGA-PBE calculation of a relaxed structure of MgCdFeTe3, from OQMD via LeMat-Bulk.

Lattice parameters (Å, degrees): 7.336 7.336 11.162 90.00 90.00 31.35
Site moments in Bohr magnetons follow the coordinates.
Positions (direct):
1 Fe 0.000 0.000 0.500  3.16
2 Fe 0.000 0.000 0.000  3.13
3 Te 0.634 0.634 0.553  0.06
4 Te 0.366 0.366 0.447  0.06
5 Te 0.634 0.634 0.947  0.07
6 Te 0.869 0.869 0.750  0.10
7 Te 0.131 0.131 0.250  0.10
8 Te 0.366 0.366 0.053  0.07
9 Cd 0.489 0.489 0.250  0.01
10 Cd 0.511 0.511 0.750  0.01
11 Mg 0.788 0.788 0.250  0.01
12 Mg 0.212 0.212 0.750  0.01



Version 2
The following is a GGA-PBE calculation of a relaxed structure of MgCdFeTe3, from OQMD via LeMat-Bulk.

Lattice parameters (Å, degrees): 4.062 7.133 11.463 90.00 90.00 73.46
Site moments in Bohr magnetons follow the coordinates.
Positions (direct):
1 Te 0.650 0.699 0.426  0.10
2 Te 0.650 0.699 0.074  0.10
3 Te 0.903 0.193 0.250  0.10
4 Te 0.097 0.807 0.750  0.10
5 Te 0.350 0.301 0.574  0.10
6 Te 0.350 0.301 0.926  0.10
7 Fe 0.470 0.061 0.750  3.10
8 Fe 0.530 0.939 0.250  3.10
9 Cd 0.000 0.000 0.000  0.02
10 Cd 0.000 0.000 0.500  0.01
11 Mg 0.776 0.447 0.750  0.00
12 Mg 0.224 0.553 0.250  0.00



Stability, lowest: version 1



Version 1
The following is a GGA-PBE calculation of a relaxed structure of NaCdFeRe, from OQMD via LeMat-Bulk.

Lattice parameters (Å, degrees): 4.396 4.396 4.396 60.00 60.00 60.00
Positions (direct):
1 Na 0.750 0.750 0.750
2 Cd 0.000 0.000 0.000
3 Fe 0.250 0.250 0.250
4 Re 0.500 0.500 0.500



Version 2
The following is a GGA-PBE calculation of a relaxed structure of NaCdFeRe, from OQMD via LeMat-Bulk.

Lattice parameters (Å, degrees): 4.526 4.526 4.526 60.00 60.00 60.00
Positions (direct):
1 Na 0.750 0.750 0.750
2 Fe 0.000 0.000 0.000
3 Re 0.250 0.250 0.250
4 Cd 0.500 0.500 0.500



Stability, lowest: version 2



Version 1
The following is a GGA-PBE calculation of a relaxed structure of NaCdFeTc, from OQMD via LeMat-Bulk.

Lattice parameters (Å, degrees): 4.468 4.468 4.468 60.00 60.00 60.00
Positions (direct):
1 Tc 0.500 0.500 0.500
2 Cd 0.000 0.000 0.000
3 Na 0.750 0.750 0.750
4 Fe 0.250 0.250 0.250



Version 2
The following is a GGA-PBE calculation of a relaxed structure of NaCdFeTc, from OQMD via LeMat-Bulk.

Lattice parameters (Å, degrees): 4.566 4.566 4.566 60.00 60.00 60.00
Positions (direct):
1 Na 0.750 0.750 0.750
2 Cd 0.500 0.500 0.500
3 Tc 0.250 0.250 0.250
4 Fe 0.000 0.000 0.000



Stability, lowest: version 1



Version 1
The following is a GGA-PBE calculation of a relaxed structure of NbTlCdFe, from OQMD via LeMat-Bulk.

Lattice parameters (Å, degrees): 4.706 4.706 4.706 60.00 60.00 60.00
Positions (direct):
1 Cd 0.500 0.500 0.500
2 Tl 0.000 0.000 0.000
3 Fe 0.750 0.750 0.750
4 Nb 0.250 0.250 0.250



Version 2
The following is a GGA-PBE calculation of a relaxed structure of NbTlCdFe, from OQMD via LeMat-Bulk.

Lattice parameters (Å, degrees): 4.690 4.690 4.690 60.00 60.00 60.00
Positions (direct):
1 Cd 0.250 0.250 0.250
2 Fe 0.750 0.750 0.750
3 Tl 0.000 0.000 0.000
4 Nb 0.500 0.500 0.500



Stability, lowest: version 1



Version 1
The following is a GGA-PBE calculation of a relaxed structure of NbZnCdFe, from OQMD via LeMat-Bulk.

Lattice parameters (Å, degrees): 4.486 4.486 4.486 60.00 60.00 60.00
Positions (direct):
1 Fe 0.750 0.750 0.750
2 Nb 0.500 0.500 0.500
3 Zn 0.000 0.000 0.000
4 Cd 0.250 0.250 0.250



Version 2
The following is a GGA-PBE calculation of a relaxed structure of NbZnCdFe, from OQMD via LeMat-Bulk.

Lattice parameters (Å, degrees): 4.499 4.499 4.499 60.00 60.00 60.00
Positions (direct):
1 Cd 0.500 0.500 0.500
2 Zn 0.000 0.000 0.000
3 Fe 0.750 0.750 0.750
4 Nb 0.250 0.250 0.250



Stability, lowest: version 2



Version 1
The following is a GGA-PBE calculation of a relaxed structure of CdFeSiNi, from OQMD via LeMat-Bulk.

Lattice parameters (Å, degrees): 4.218 4.218 4.218 60.00 60.00 60.00
Positions (direct):
1 Fe 0.750 0.750 0.750
2 Si 0.000 0.000 0.000
3 Ni 0.250 0.250 0.250
4 Cd 0.500 0.500 0.500



Version 2
The following is a GGA-PBE calculation of a relaxed structure of CdFeSiNi, from OQMD via LeMat-Bulk.

Lattice parameters (Å, degrees): 4.269 4.269 4.269 60.00 60.00 60.00
Positions (direct):
1 Fe 0.750 0.750 0.750
2 Si 0.000 0.000 0.000
3 Cd 0.250 0.250 0.250
4 Ni 0.500 0.500 0.500



Stability, lowest: version 2



Version 1
The following is a GGA-PBE calculation of a relaxed structure of PaCdFe, from OQMD via LeMat-Bulk.

Lattice parameters (Å, degrees): 4.664 4.664 4.664 60.00 60.00 60.00
Positions (direct):
1 Cd 0.500 0.500 0.500
2 Pa 0.750 0.750 0.750
3 Fe 0.000 0.000 0.000



Version 2
The following is a GGA-PBE calculation of a relaxed structure of PaCdFe, from OQMD via LeMat-Bulk.

Lattice parameters (Å, degrees): 4.480 4.480 4.480 60.00 60.00 60.00
Site moments in Bohr magnetons follow the coordinates.
Positions (direct):
1 Fe 0.250 0.250 0.250  0.21
2 Pa 0.500 0.500 0.500  -0.13
3 Cd 0.000 0.000 0.000  -0.01



Stability, lowest: version 1